Below is crystalline SrAs at its relaxed geometry, with properties calculated at the PBE level.

Lattice parameters (Å, degrees): 11.1212 11.1212 4.4524 90.00 90.00 90.00
Space group I4/mmm (No. 139)
Asymmetric unit:
Sr  0.0000  0.2820  0.0000 x8
As  0.2068  0.2068  0.5000 x8

Calculated values
Calculated volume in Å³ per atom: 34.42
DFT total energy in eV/cell: -62.52
Crystal system: tetragonal

***

Below is crystalline SrAs at its relaxed geometry, with properties calculated at the PBE level.

Lattice parameters (Å, degrees): 4.5902 4.5902 23.3126 90.00 90.00 120.00
Space group R-3m (No. 166, hexagonal axes)
Asymmetric unit:
Sr  0.0000  0.0000  0.0880 x6
As  0.0000  0.0000  0.3253 x6

Calculated values
Calculated volume in Å³ per atom: 35.45
DFT total energy in eV/cell: -44.34
Crystal system: trigonal

***

Below is crystalline SrAs4 at its relaxed geometry, with properties calculated at the PBE level.

Lattice parameters (Å, degrees): 5.1405 5.1405 9.6284 90.00 90.00 90.00
Space group I4/mmm (No. 139)
Asymmetric unit:
Sr  0.0000  0.0000  0.0000 x2
As  0.0000  0.0000  0.3336 x4
As  0.0000  0.5000  0.2500 x4

Calculated values
Calculated volume in Å³ per atom: 25.44
Offset from the most stable computed form in meV/atom: 15
Crystal system: tetragonal

***

Below is crystalline Sr3As at its relaxed geometry, with properties calculated at the PBE level.

Lattice parameters (Å, degrees): 7.5884 7.5884 5.7184 90.00 90.00 120.00
Space group P6_3/mmc (No. 194)
Asymmetric unit:
Sr  0.1765  0.3530  0.2500 x6
As  0.3333  0.6667  0.7500 x2

Calculated values
Calculated volume in Å³ per atom: 35.65
Offset from the most stable computed form in meV/atom: 292
Crystal system: hexagonal

***

Below is crystalline SrAs7 at its relaxed geometry, with properties calculated at the PBE level.

Lattice parameters (Å, degrees): 8.7498 8.7498 8.7498 90.00 90.00 90.00
Space group Fm-3m (No. 225)
Asymmetric unit:
Sr  0.0000  0.0000  0.0000 x4
As  0.0000  0.0000  0.5000 x4
As  0.0000  0.2500  0.2500 x24

Calculated values
Calculated volume in Å³ per atom: 20.93
DFT total energy in eV/cell: -131.87
Crystal system: cubic

***

Below is crystalline SrAs at its relaxed geometry, with properties calculated at the PBE level.

Lattice parameters (Å, degrees): 5.4373 5.4373 6.2245 90.00 90.00 120.00
Space group P6_3/mmc (No. 194)
Asymmetric unit:
Sr  0.3333  0.6667  0.2500 x2
As  0.3333  0.6667  0.7500 x2

Calculated values
Calculated volume in Å³ per atom: 39.84
DFT total energy in eV/cell: -15.03
Crystal system: hexagonal

***

Below is crystalline Sr4As3 at its relaxed geometry, with properties calculated at the PBE level.

Lattice parameters (Å, degrees): 12.2672 12.9247 11.0399 90.00 90.00 90.00
Space group Pbam (No. 55)
Asymmetric unit:
Sr  0.0000  0.0000  0.1834 x4
Sr  0.0965  0.2644  0.2761 x8
Sr  0.1020  0.7063  0.0000 x4
Sr  0.1234  0.8683  0.5000 x4
Sr  0.1732  0.5677  0.3229 x8
Sr  0.2263  0.4233  0.0000 x4
As  0.0000  0.5000  0.1167 x4
As  0.0384  0.4079  0.5000 x4
As  0.1363  0.1142  0.5000 x4
As  0.1395  0.1421  0.0000 x4
As  0.1616  0.8225  0.2339 x8

Calculated values
Calculated volume in Å³ per atom: 31.26
Offset from the most stable computed form in meV/atom: 0
Crystal system: orthorhombic

***

Below is crystalline SrAs3 at its relaxed geometry, with properties calculated at the PBE level.

Lattice parameters (Å, degrees): 4.2847 4.2847 10.0897 90.00 90.00 90.00
Space group I4/mmm (No. 139)
Asymmetric unit:
Sr  0.0000  0.0000  0.0000 x2
As  0.0000  0.0000  0.5000 x2
As  0.0000  0.5000  0.2500 x4

Calculated values
Calculated volume in Å³ per atom: 23.15
DFT total energy in eV/cell: -33.02
Crystal system: tetragonal

***

Below is crystalline Sr3As at its relaxed geometry, with properties calculated at the PBE level.

Lattice parameters (Å, degrees): 5.0025 5.0025 11.4794 90.00 90.00 90.00
Space group I4/mmm (No. 139)
Asymmetric unit:
Sr  0.0000  0.0000  0.0000 x2
Sr  0.0000  0.5000  0.2500 x4
As  0.0000  0.0000  0.5000 x2

Calculated values
Calculated volume in Å³ per atom: 35.91
Offset from the most stable computed form in meV/atom: 345
Crystal system: tetragonal

***

Below is crystalline SrAs3 at its relaxed geometry, with properties calculated at the PBE level.

Lattice parameters (Å, degrees): 5.9138 6.3840 5.4090 90.00 90.00 90.00
Space group Pmmn (No. 59, origin choice 2)
Asymmetric unit:
Sr  0.2500  0.2500  0.0727 x2
As  0.2500  0.5525  0.5340 x4
As  0.2500  0.7500  0.1100 x2

Calculated values
Calculated volume in Å³ per atom: 25.53
DFT total energy in eV/cell: -34.37
Crystal system: orthorhombic

***

Below is crystalline Sr5As4 at its relaxed geometry, with properties calculated at the PBE level.

Lattice parameters (Å, degrees): 9.2981 9.2981 7.4289 90.00 90.00 120.00
Space group P6_3/mcm (No. 193)
Asymmetric unit:
Sr  0.0000  0.2552  0.2500 x6
Sr  0.3333  0.6667  0.0000 x4
As  0.0000  0.0000  0.0000 x2
As  0.0000  0.4076  0.7500 x6

Calculated values
Calculated volume in Å³ per atom: 30.90
Offset from the most stable computed form in meV/atom: 0
Crystal system: hexagonal

***

Below is crystalline Sr3As at its relaxed geometry, with properties calculated at the PBE level.

Lattice parameters (Å, degrees): 5.0269 5.0269 24.2674 90.00 90.00 90.00
Space group I4/mmm (No. 139)
Asymmetric unit:
Sr  0.0000  0.0000  0.1192 x4
Sr  0.0000  0.5000  0.0000 x4
Sr  0.0000  0.5000  0.2500 x4
As  0.0000  0.0000  0.4067 x4

Calculated values
Calculated volume in Å³ per atom: 38.33
Offset from the most stable computed form in meV/atom: 236
Crystal system: tetragonal

***

Below is crystalline SrAs3 at its relaxed geometry, with properties calculated at the PBE level.

Lattice parameters (Å, degrees): 3.9507 3.9507 22.4802 90.00 90.00 120.00
Space group R-3m (No. 166, hexagonal axes)
Asymmetric unit:
Sr  0.0000  0.0000  0.0000 x3
As  0.0000  0.0000  0.2350 x6
As  0.0000  0.0000  0.5000 x3

Calculated values
Calculated volume in Å³ per atom: 25.32
DFT total energy in eV/cell: -50.11
Crystal system: trigonal

***

Below is crystalline SrAs at its relaxed geometry, with properties calculated at the PBE level.

Lattice parameters (Å, degrees): 7.0887 7.0887 7.0887 90.00 90.00 90.00
Space group F-43m (No. 216)
Asymmetric unit:
Sr  0.0000  0.0000  0.0000 x4
As  0.2500  0.2500  0.2500 x4

Calculated values
Calculated volume in Å³ per atom: 44.52
DFT total energy in eV/cell: -28.20
Crystal system: cubic

***

Below is crystalline SrAs at its relaxed geometry, with properties calculated at the PBE level.

Lattice parameters (Å, degrees): 10.4782 10.4782 4.5269 90.00 90.00 120.00
Space group P6_3/mmc (No. 194)
Asymmetric unit:
Sr  0.2002  0.4004  0.2500 x6
As  0.0745  0.5372  0.7500 x6

Calculated values
Calculated volume in Å³ per atom: 35.87
DFT total energy in eV/cell: -45.69
Crystal system: hexagonal

***

Below is crystalline SrAs3 at its relaxed geometry, with properties calculated at the PBE level.

Lattice parameters (Å, degrees): 4.4256 4.4256 6.3456 90.00 90.00 120.00
Space group P-6m2 (No. 187)
Asymmetric unit:
Sr  0.0000  0.0000  0.0000 x1
As  0.0000  0.0000  0.5000 x1
As  0.3333  0.6667  0.2949 x2

Calculated values
Calculated volume in Å³ per atom: 26.91
DFT total energy in eV/cell: -16.55
Crystal system: hexagonal

***

Below is crystalline SrAs at its relaxed geometry, with properties calculated at the PBE level.

Lattice parameters (Å, degrees): 8.3672 8.3672 6.2139 90.00 90.00 120.00
Space group P-62m (No. 189)
Asymmetric unit:
Sr  0.0000  0.3136  0.0000 x3
Sr  0.0000  0.6479  0.5000 x3
As  0.0000  0.0000  0.2956 x2
As  0.3333  0.6667  0.2101 x4

Calculated values
Calculated volume in Å³ per atom: 31.40
DFT total energy in eV/cell: -51.04
Crystal system: hexagonal

***

Below is crystalline SrAs8 at its relaxed geometry, with properties calculated at the PBE level.

Lattice parameters (Å, degrees): 10.5280 10.5280 3.5808 90.00 90.00 90.00
Space group I4/mmm (No. 139)
Asymmetric unit:
Sr  0.0000  0.0000  0.0000 x2
As  0.0000  0.3541  0.0000 x8
As  0.1911  0.1911  0.5000 x8

Calculated values
Calculated volume in Å³ per atom: 22.05
DFT total energy in eV/cell: -74.73
Crystal system: tetragonal

***

Below is crystalline SrAs at its relaxed geometry, with properties calculated at the PBE level.

Lattice parameters (Å, degrees): 11.3344 11.3344 4.5622 90.00 90.00 90.00
Space group P4/m (No. 83)
Asymmetric unit:
Sr  0.0260  0.2442  0.0000 x4
Sr  0.2548  0.4586  0.5000 x4
As  0.0351  0.5967  0.5000 x4
As  0.2592  0.6919  0.0000 x4

Calculated values
Calculated volume in Å³ per atom: 36.63
DFT total energy in eV/cell: -59.57
Crystal system: tetragonal

***

Below is crystalline SrAs at its relaxed geometry, with properties calculated at the PBE level.

Lattice parameters (Å, degrees): 4.9145 13.6206 6.2629 90.00 90.00 90.00
Space group Imm2 (No. 44)
Asymmetric unit:
Sr  0.0000  0.0000  0.0000 x2
Sr  0.0000  0.3047  0.0527 x4
As  0.0000  0.3392  0.5450 x4
As  0.0000  0.5000  0.7775 x2

Calculated values
Calculated volume in Å³ per atom: 34.94
DFT total energy in eV/cell: -48.19
Crystal system: orthorhombic

***

Below is crystalline Sr3As at its relaxed geometry, with properties calculated at the PBE level.

Lattice parameters (Å, degrees): 6.1073 6.1073 6.1073 90.00 90.00 90.00
Space group Pm-3m (No. 221)
Asymmetric unit:
Sr  0.0000  0.0000  0.5000 x3
As  0.0000  0.0000  0.0000 x1

Calculated values
Calculated volume in Å³ per atom: 56.95
Offset from the most stable computed form in meV/atom: 187
Crystal system: cubic

***

Below is crystalline Sr3As at its relaxed geometry, with properties calculated at the PBE level.

Lattice parameters (Å, degrees): 6.2844 13.8112 4.4488 90.00 90.00 90.00
Space group Cmmm (No. 65)
Asymmetric unit:
Sr  0.0000  0.0000  0.0000 x2
Sr  0.0000  0.3488  0.5000 x4
As  0.0000  0.5000  0.0000 x2

Calculated values
Calculated volume in Å³ per atom: 48.27
Offset from the most stable computed form in meV/atom: 35
Crystal system: orthorhombic